Record 1
# LiTlI2Br

Crystalline LiTlI2Br at its relaxed geometry (PBE-GGA, Alexandria via LeMat-Bulk).

Computed properties:
Electronic total energy = -2.44 eV per atom
Mass density = 5.34 g/cm³
DOS at the Fermi energy = 1.708 states/eV per atom
Formation energy from raw total energies = -0.626 eV/atom

a = 5.692 Å, b = 5.692 Å, c = 5.234 Å
α = 90.00°, β = 90.00°, γ = 90.00°
Space group P4/mmm (No. 123)
One atom of each set of equivalent atoms:
1 Li 0.000 0.000 0.000
2 Tl 0.500 0.500 0.500
3 I 0.000 0.500 0.000
4 Br 0.000 0.000 0.500

Record 2
# Zn2SiAg

Crystalline Zn2SiAg at its relaxed geometry (PBE-GGA, Alexandria via LeMat-Bulk).

Computed properties:
Electronic total energy = -2.53 eV per atom
Mass density = 6.88 g/cm³
DOS at the Fermi energy = 0.176 states/eV per atom
Formation energy from raw total energies = 0.172 eV/atom

a = 9.215 Å, b = 3.070 Å, c = 4.574 Å
α = 90.00°, β = 95.55°, γ = 90.00°
Space group C2/m (No. 12)
One atom of each set of equivalent atoms:
1 Zn 0.248 0.000 0.254
2 Si 0.000 0.000 0.500
3 Ag 0.000 0.500 0.000

Record 3
# Tb2DyHg4

Crystalline Tb2DyHg4 at its relaxed geometry (PBE-GGA, Alexandria via LeMat-Bulk).

Computed properties:
Electronic total energy = -2.13 eV per atom
Mass density = 8.80 g/cm³
Formation energy = 25 meV per atom
DOS at the Fermi energy = 0.947 states/eV per atom

a = 5.614 Å, b = 5.614 Å, c = 15.366 Å
α = 90.00°, β = 90.00°, γ = 90.00°
Space group I4/mmm (No. 139)
One atom of each set of equivalent atoms:
1 Tb 0.000 0.000 0.103
2 Dy 0.000 0.000 0.500
3 Hg 0.000 0.000 0.302
4 Hg 0.000 0.500 0.000

Record 4
# K4VSe4

Crystalline K4VSe4 at its relaxed geometry (PBE-GGA, Alexandria via LeMat-Bulk).

Computed properties:
Electronic total energy = -4.04 eV per atom
Mass density = 2.26 g/cm³
DOS at the Fermi energy = 0.655 states/eV per atom
Formation energy from raw total energies = -0.987 eV/atom

a = 7.694 Å, b = 7.694 Å, c = 12.984 Å
α = 90.00°, β = 90.00°, γ = 90.00°
Space group I-42m (No. 121)
One atom of each set of equivalent atoms:
1 K 0.000 0.000 0.198
2 K 0.000 0.500 0.000
3 V 0.000 0.000 0.500
4 Se 0.179 0.179 0.606

Record 5
# TbBeSn

Crystalline TbBeSn at its relaxed geometry (PBE-GGA, Alexandria via LeMat-Bulk).

Computed properties:
Electronic total energy = -4.35 eV per atom
Mass density = 7.29 g/cm³
Formation energy = -227 meV per atom
DOS at the Fermi energy = 0.782 states/eV per atom

a = 4.251 Å, b = 15.420 Å, c = 3.983 Å
α = 90.00°, β = 90.00°, γ = 90.00°
Space group Cmcm (No. 63)
One atom of each set of equivalent atoms:
1 Tb 0.000 0.091 0.250
2 Be 0.000 0.462 0.250
3 Sn 0.000 0.296 0.250

Record 6
# PaTcGe2

Crystalline PaTcGe2 at its relaxed geometry (PBE-GGA, Alexandria via LeMat-Bulk).

Computed properties:
Electronic total energy = -7.52 eV per atom
Mass density = 10.66 g/cm³
Formation energy = -242 meV per atom
DOS at the Fermi energy = 0.506 states/eV per atom

a = 4.045 Å, b = 4.045 Å, c = 4.517 Å
α = 90.00°, β = 90.00°, γ = 90.00°
Space group P4/mmm (No. 123)
One atom of each set of equivalent atoms:
1 Pa 0.000 0.000 0.000
2 Tc 0.500 0.500 0.000
3 Ge 0.000 0.500 0.500